Record 1
Computed, not measured: a relaxed structure of KPW2 at the PBE level of DFT.

Cell: 6.0026 6.0026 2.6058 Å, 90.00 90.00 125.15°
With the nearest neighbours (Å) after each atom.
Sites, in units of the cell vectors:
K 0.5000 0.0000 0.5000  2 K 2.61, 2 P 2.76
W 0.0000 0.0000 0.0000  4 W 2.61-2.76
W 0.5000 0.5000 0.0000  4 W 2.61-2.76
P 0.0000 0.5000 0.5000  2 P 2.61, 2 K 2.76

Formation energy ... 1.592 eV per atom
Polymorph energy (0 for the lowest one) ... 1167 meV/atom
Crystal system ... orthorhombic

Record 2
Computed, not measured: a relaxed structure of NpPaP2Ir2 at the PBE level of DFT.

Cell: 4.0869 4.0869 7.7265 Å, 90.00 90.00 120.00°
With the nearest neighbours (Å) after each atom.
Sites, in units of the cell vectors:
P 0.3333 0.6667 0.2754  3 Ir 2.39
P 0.6667 0.3333 0.7246  3 Ir 2.39
Pa 0.0000 0.0000 0.0000  6 Ir 2.94, 6 P 3.18
Ir 0.3333 0.6667 0.7725  3 P 2.39
Ir 0.6667 0.3333 0.2275  3 P 2.39
Np 0.0000 0.0000 0.5000  6 P 2.93, 6 Ir 3.16

Formation energy ... -0.956 eV per atom
Crystal system ... trigonal